Record 1
Rb2TiZnF6 GGA-PBE relaxed; volume = 210.10 Å³ per cell; density of states at the Fermi level = 0.000 states/eV per atom; energy = -4.999 eV/atom; energy relative to the elements, uncorrected = -2.77 eV per atom
1.0
6.6722 0.0000 0.0000
0.0000 6.6722 0.0000
3.3361 3.3361 4.7194
F Rb Ti Zn
6 2 1 1
direct
0.2991 0.2991 0.0000
0.2992 0.2992 0.4016
0.7008 0.7008 0.5984
0.7009 0.7009 0.0000
0.7009 0.2991 0.0000
0.2991 0.7009 0.0000
0.7500 0.2500 0.5000
0.2500 0.7500 0.5000
0.5000 0.5000 0.0000
0.0000 0.0000 0.0000

---

Record 2
LaPmHo4 GGA-PBE relaxed; volume = 195.33 Å³ per cell; density of states at the Fermi level = 1.438 states/eV per atom; energy = -4.638 eV/atom; ΔE_f = 0.03 eV per atom; polymorph energy (0 for the lowest one) = 0 meV/atom
1.0
5.0595 -0.0036 0.0030
-2.5264 5.5847 -5.1713
-0.0083 -3.9928 10.6126
La Ho Pm
1 4 1
direct
0.0000 0.0000 0.0000
0.6666 0.3328 0.9971
0.8347 0.6700 0.5025
0.3334 0.6672 0.0029
0.1653 0.3299 0.4975
0.5000 0.0000 0.5000

---

Record 3
Li2Se3 GGA-PBE relaxed; volume = 192.85 Å³ per cell; density of states at the Fermi level = 0.734 states/eV per atom; energy = -3.402 eV/atom; polymorph energy (0 for the lowest one) = 19 meV/atom; energy relative to the elements, uncorrected = -0.55 eV per atom
1.0
0.0000 4.6030 7.2889
2.8740 0.0000 7.2889
2.8740 4.6030 0.0000
Li Se
4 6
direct
0.9570 0.9570 0.5430
0.7070 0.7070 0.2930
0.2930 0.2930 0.7070
0.5430 0.5430 0.9570
0.5000 0.5000 0.5000
0.1250 0.1250 0.1250
0.6250 0.1250 0.1250
0.1250 0.1250 0.6250
0.7500 0.7500 0.7500
0.1250 0.6250 0.1250

---

Record 4
Ca6PN GGA-PBE relaxed; volume = 249.14 Å³ per cell; density of states at the Fermi level = 0.772 states/eV per atom; energy = -3.783 eV/atom; energy relative to the elements, uncorrected = -0.56 eV per atom
1.0
-3.0712 -6.0850 0.3242
5.2750 1.0241 -4.2059
3.3018 -0.3037 5.6067
Ca P N
6 1 1
direct
0.4379 0.1413 0.2627
0.2607 0.2607 0.7220
0.5621 0.8587 0.7373
0.8587 0.5621 0.7373
0.7393 0.7393 0.2780
0.1413 0.4379 0.2627
0.0000 0.0000 0.0000
0.5000 0.5000 0.5000

---

Record 5
K2PmTlCl6 GGA-PBE relaxed; volume = 678.14 Å³ per cell; density of states at the Fermi level = 0.000 states/eV per atom; energy = -3.970 eV/atom; energy relative to the elements, uncorrected = -1.93 eV per atom
1.0
-6.0764 -3.4286 -3.0133
3.8574 -0.5792 -7.1195
3.8551 -9.8812 2.8926
Cl K Tl Pm
12 4 2 2
direct
0.3364 0.7211 0.4188
0.6636 0.2789 0.5812
0.6384 0.0633 0.2729
0.2108 0.1759 0.4376
0.7892 0.8241 0.5624
0.7108 0.3241 0.9376
0.2892 0.6759 0.0624
0.8616 0.5633 0.2271
0.1636 0.2211 0.0812
0.1384 0.4367 0.7729
0.3616 0.9367 0.7271
0.8364 0.7789 0.9188
0.5294 0.5763 0.7561
0.0294 0.9237 0.2561
0.4706 0.4237 0.2439
0.9706 0.0763 0.7439
0.0000 0.5000 0.5000
0.5000 0.0000 0.0000
0.0000 0.5000 0.0000
0.5000 0.0000 0.5000

---

Record 6
CsCu3I3 GGA-PBE relaxed; volume = 433.50 Å³ per cell; density of states at the Fermi level = 0.118 states/eV per atom; energy = -2.974 eV/atom; energy relative to the elements, uncorrected = -0.43 eV per atom
1.0
-1.4719 -3.1742 -2.4371
9.4962 -5.1303 0.9466
-7.8978 -1.8523 7.1825
I Cu Cs
6 6 2
direct
0.2500 0.6505 0.9581
0.7500 0.6924 0.6505
0.7500 0.3495 0.0419
0.7500 0.9581 0.3076
0.2500 0.3076 0.3495
0.2500 0.0419 0.6924
0.7500 0.9574 0.8485
0.2500 0.8485 0.8911
0.7500 0.8911 0.0426
0.7500 0.1515 0.1089
0.2500 0.0426 0.1515
0.2500 0.1089 0.9574
0.7500 0.3333 0.6667
0.2500 0.6667 0.3333

---

Record 7
Ta3NCl GGA-PBE relaxed; volume = 78.96 Å³ per cell; density of states at the Fermi level = 0.404 states/eV per atom; energy = -8.857 eV/atom; polymorph energy (0 for the lowest one) = 0 meV/atom; energy relative to the elements, uncorrected = 0.29 eV per atom
1.0
4.2901 0.0000 0.0000
0.0000 4.2901 0.0000
0.0000 0.0000 4.2901
Cl Ta N
1 3 1
direct
0.5000 0.5000 0.5000
0.0000 0.0000 0.5000
0.5000 0.0000 0.0000
0.0000 0.5000 0.0000
0.0000 0.0000 0.0000

---

Record 8
ZrNpPaZn GGA-PBE relaxed; volume = 84.56 Å³ per cell; density of states at the Fermi level = 2.774 states/eV per atom; energy = -7.851 eV/atom; ΔE_f = 0.21 eV per atom
1.0
-2.9228 -3.9660 0.0412
-1.3877 -1.9929 4.2867
-4.6745 0.4004 1.5041
Zr Zn Pa Np
1 1 1 1
direct
0.2500 0.2500 0.2500
0.0000 0.0000 0.0000
0.7500 0.7500 0.7500
0.5000 0.5000 0.5000